Entry 1:
Below is Nd6ErSc2 after structural relaxation, with properties calculated at the GGA-PBE level. Values from VASP.

```
&SYSTEM
  ibrav = 0, nat = 18, ntyp = 3
/
ATOMIC_SPECIES
Nd 144.24 Nd.upf
Er 167.26 Er.upf
Sc 44.96 Sc.upf
CELL_PARAMETERS angstrom
-0.0019 5.9356 -0.1083
-9.0983 1.2450 4.4813
1.2089 1.3501 10.0562
ATOMIC_POSITIONS crystal
Nd 0.4605 0.6717 0.4534
Nd 0.0395 0.5466 0.3283
Nd 0.5395 0.3283 0.5466
Nd 0.9605 0.4534 0.6717
Nd 0.6383 0.1202 0.3438
Nd 0.8617 0.6562 0.8798
Nd 0.3617 0.8798 0.6562
Nd 0.1383 0.3438 0.1202
Nd 0.2971 0.7799 0.0045
Nd 0.2029 0.9955 0.2201
Nd 0.7029 0.2201 0.9955
Nd 0.7971 0.0045 0.7799
Er 0.2500 0.1476 0.8524
Er 0.7500 0.8524 0.1476
Sc 0.4114 0.5200 0.8092
Sc 0.0886 0.1908 0.4800
Sc 0.5886 0.4800 0.1908
Sc 0.9114 0.8092 0.5200
```

- Volume: 577 Å³ per cell
- Magnetization: 0.000 μB/atom
- DOS at the Fermi energy: 12.36 states/eV/f.u.
- Energy of formation: 101 meV per atom
- Space group: C2/c
- E above lowest polymorph: 0.181 eV per formula unit
- Theoretical density: 6.46 Mg/m³
- Raw total energy: -4.992 eV per atom


Entry 2:
Below is TaTiOs after structural relaxation, with properties calculated at the GGA-PBE level. Values from VASP.

```
&SYSTEM
  ibrav = 0, nat = 12, ntyp = 3
/
ATOMIC_SPECIES
Ta 180.95 Ta.upf
Ti 47.87 Ti.upf
Os 190.23 Os.upf
CELL_PARAMETERS angstrom
-0.9646 5.1227 3.2271
-0.6636 -3.3589 5.0857
6.8271 -0.4300 -3.0717
ATOMIC_POSITIONS crystal
Ta 0.6606 0.0857 0.2464
Ta 0.4106 0.3358 0.7464
Ta 0.6643 0.5894 0.2536
Ta 0.9143 0.3393 0.7536
Ti 0.1609 0.0859 0.2467
Ti 0.1641 0.5891 0.2533
Ti 0.4109 0.8360 0.7467
Ti 0.9141 0.8390 0.7533
Os 0.5397 0.9647 0.5000
Os 0.7852 0.7104 0.0000
Os 0.0353 0.4603 0.5000
Os 0.2897 0.2148 0.0000
```

- Volume: 230 Å³ per cell
- Magnetization: 0.000 μB/atom
- DOS at the Fermi energy: 3.49 states/eV/f.u.
- Energy of formation: -36 meV per atom
- Space group: Fddd
- E above lowest polymorph: 1.270 eV per formula unit
- Theoretical density: 12.09 Mg/m³
- Raw total energy: -10.362 eV per atom


Entry 3:
Below is Sc5Zn3 after structural relaxation, with properties calculated at the GGA-PBE level. Values from VASP.

```
&SYSTEM
  ibrav = 0, nat = 8, ntyp = 2
/
ATOMIC_SPECIES
Sc 44.96 Sc.upf
Zn 65.41 Zn.upf
CELL_PARAMETERS angstrom
-0.7921 -3.1560 -0.6182
1.7844 0.0983 -2.7886
12.0269 -4.4950 7.5374
ATOMIC_POSITIONS crystal
Sc 0.0000 0.0000 0.2279
Sc 0.5000 0.5000 0.6130
Sc 0.5000 0.5000 0.3870
Sc 0.0000 0.0000 0.7721
Sc 0.0000 0.0000 0.0000
Zn 0.5000 0.5000 0.1130
Zn 0.5000 0.5000 0.8870
Zn 0.0000 0.0000 0.5000
```

- Volume: 163 Å³ per cell
- Magnetization: 0.000 μB/atom
- DOS at the Fermi energy: 9.78 states/eV/f.u.
- Energy of formation: -260 meV per atom
- Space group: P4/mmm
- E above lowest polymorph: 0.000 eV per formula unit
- Theoretical density: 4.28 Mg/m³
- Raw total energy: -4.695 eV per atom


Entry 4:
Below is ThPa2Ga6 after structural relaxation, with properties calculated at the GGA-PBE level. Values from VASP.

```
&SYSTEM
  ibrav = 0, nat = 9, ntyp = 3
/
ATOMIC_SPECIES
Th 232.04 Th.upf
Pa 231.04 Pa.upf
Ga 69.72 Ga.upf
CELL_PARAMETERS angstrom
4.5320 0.0000 0.0000
2.2660 7.2070 1.4327
2.2660 2.8270 6.7825
ATOMIC_POSITIONS crystal
Th 0.0000 0.0000 0.0000
Pa 0.8946 0.6054 0.6054
Pa 0.1054 0.3946 0.3946
Ga 0.6916 0.0107 0.6061
Ga 0.3084 0.9893 0.3939
Ga 0.3084 0.3939 0.9893
Ga 0.5000 0.7005 0.2995
Ga 0.5000 0.2995 0.7005
Ga 0.6916 0.6061 0.0107
```

- Volume: 203 Å³ per cell
- Magnetization: 0.000 μB/atom
- DOS at the Fermi energy: 9.25 states/eV/f.u.
- Energy of formation: -213 meV per atom
- Space group: Immm
- E above lowest polymorph: 1.439 eV per formula unit
- Theoretical density: 9.09 Mg/m³
- Raw total energy: -5.165 eV per atom


Entry 5:
Below is PrRh3 after structural relaxation, with properties calculated at the GGA-PBE level. Values from VASP.

```
&SYSTEM
  ibrav = 0, nat = 8, ntyp = 2
/
ATOMIC_SPECIES
Pr 140.91 Pr.upf
Rh 102.91 Rh.upf
CELL_PARAMETERS angstrom
4.2886 0.0000 0.0000
0.0000 5.3495 0.0000
0.0000 0.0000 6.5422
ATOMIC_POSITIONS crystal
Pr 0.0000 0.2500 0.6882
Pr 0.0000 0.7500 0.3118
Rh 0.0000 0.7500 0.8601
Rh 0.0000 0.2500 0.1399
Rh 0.5000 0.0000 0.0000
Rh 0.5000 0.5000 0.0000
Rh 0.5000 0.7500 0.6337
Rh 0.5000 0.2500 0.3663
```

- Volume: 150 Å³ per cell
- Magnetization: 0.000 μB/atom
- DOS at the Fermi energy: 4.65 states/eV/f.u.
- Energy of formation: -338 meV per atom
- Space group: Pmma
- Theoretical density: 9.95 Mg/m³
- Raw total energy: -7.046 eV per atom


Entry 6:
Below is MnIn2Pt9 after structural relaxation, with properties calculated at the GGA-PBE level. Values from VASP.

```
&SYSTEM
  ibrav = 0, nat = 12, ntyp = 3
/
ATOMIC_SPECIES
Mn 54.94 Mn.upf
In 114.82 In.upf
Pt 195.08 Pt.upf
CELL_PARAMETERS angstrom
4.0140 0.0000 0.0000
0.0000 4.0140 0.0000
0.0000 0.0000 11.9973
ATOMIC_POSITIONS crystal
Mn 0.0000 0.0000 0.0000
In 0.0000 0.0000 0.3296
In 0.0000 0.0000 0.6704
Pt 0.5000 0.5000 0.0000
Pt 0.5000 0.5000 0.3294
Pt 0.5000 0.5000 0.6706
Pt 0.5000 0.0000 0.1579
Pt 0.5000 0.0000 0.5000
Pt 0.5000 0.0000 0.8421
Pt 0.0000 0.5000 0.1579
Pt 0.0000 0.5000 0.5000
Pt 0.0000 0.5000 0.8421
```

- Volume: 193 Å³ per cell
- Magnetization: 0.340 μB/atom
- DOS at the Fermi energy: 12.98 states/eV/f.u.
- Energy of formation: -366 meV per atom
- Space group: P4/mmm
- Theoretical density: 17.53 Mg/m³
- Raw total energy: -6.117 eV per atom


Entry 7:
Below is AcHoSb2 after structural relaxation, with properties calculated at the GGA-PBE level. Values from VASP.

```
&SYSTEM
  ibrav = 0, nat = 4, ntyp = 3
/
ATOMIC_SPECIES
Ac 227.00 Ac.upf
Ho 164.93 Ho.upf
Sb 121.76 Sb.upf
CELL_PARAMETERS angstrom
-0.9114 4.4235 -0.2658
-4.1168 1.3897 -1.2609
-3.9599 1.9136 6.9215
ATOMIC_POSITIONS crystal
Ac 0.4979 0.4979 0.5064
Ho 0.6686 0.6686 0.9942
Sb 0.0748 0.0748 0.7757
Sb 0.2588 0.2588 0.2237
```

- Volume: 138 Å³ per cell
- Magnetization: 0.000 μB/atom
- ΔE_f (raw): -1.0527 eV per atom
- DOS at the Fermi energy: 0.39 states/eV/f.u.
- Space group: R3m
- E above lowest polymorph: 0.359 eV per formula unit
- Theoretical density: 7.66 Mg/m³
- Raw total energy: -5.285 eV per atom


Entry 8:
Below is AcPuOsPd after structural relaxation, with properties calculated at the GGA-PBE level. Values from VASP.

```
&SYSTEM
  ibrav = 0, nat = 4, ntyp = 4
/
ATOMIC_SPECIES
Ac 227.00 Ac.upf
Os 190.23 Os.upf
Pd 106.42 Pd.upf
Pu 244.00 Pu.upf
CELL_PARAMETERS angstrom
-0.4662 -5.0170 -0.6852
4.1209 -2.9765 0.1220
0.7266 -3.1775 3.9029
ATOMIC_POSITIONS crystal
Ac 0.7500 0.7500 0.7500
Os 0.0000 0.0000 0.0000
Pd 0.5000 0.5000 0.5000
Pu 0.2500 0.2500 0.2500
```

- Volume: 93 Å³ per cell
- Magnetization: 1.210 μB/atom
- DOS at the Fermi energy: 10.54 states/eV/f.u.
- Energy of formation: -79 meV per atom
- Space group: F-43m
- Theoretical density: 13.71 Mg/m³
- Raw total energy: -8.795 eV per atom


Entry 9:
Below is Tl2GaIr2 after structural relaxation, with properties calculated at the GGA-PBE level. Values from VASP.

```
&SYSTEM
  ibrav = 0, nat = 10, ntyp = 3
/
ATOMIC_SPECIES
Tl 204.38 Tl.upf
Ir 192.22 Ir.upf
Ga 69.72 Ga.upf
CELL_PARAMETERS angstrom
-5.4015 -1.9627 -3.3970
-1.7889 -3.9125 5.1050
-2.2598 3.2622 1.7083
ATOMIC_POSITIONS crystal
Tl 0.1646 0.6646 0.5000
Tl 0.6646 0.8354 0.5000
Tl 0.8354 0.3354 0.5000
Tl 0.3354 0.1646 0.5000
Ir 0.3530 0.8530 0.0000
Ir 0.8530 0.6470 0.0000
Ir 0.6470 0.1470 0.0000
Ir 0.1470 0.3530 0.0000
Ga 0.0000 0.0000 0.0000
Ga 0.5000 0.5000 0.0000
```

- Volume: 193 Å³ per cell
- Magnetization: 0.000 μB/atom
- DOS at the Fermi energy: 2.25 states/eV/f.u.
- Energy of formation: 211 meV per atom
- Space group: P4/mbm
- Theoretical density: 14.88 Mg/m³
- Raw total energy: -4.885 eV per atom


Entry 10:
Below is TlZnPb2 after structural relaxation, with properties calculated at the GGA-PBE level. Values from VASP.

```
&SYSTEM
  ibrav = 0, nat = 4, ntyp = 3
/
ATOMIC_SPECIES
Pb 207.20 Pb.upf
Tl 204.38 Tl.upf
Zn 65.41 Zn.upf
CELL_PARAMETERS angstrom
-3.5607 5.0820 -2.3420
-5.9080 2.7338 -1.2692
-1.7549 3.5458 3.9213
ATOMIC_POSITIONS crystal
Pb 0.9623 0.9623 0.0373
Pb 0.5377 0.5377 0.4627
Tl 0.7500 0.7500 0.7500
Zn 0.2500 0.2500 0.2500
```

- Volume: 113 Å³ per cell
- Magnetization: 0.000 μB/atom
- DOS at the Fermi energy: 2.47 states/eV/f.u.
- Energy of formation: 98 meV per atom
- Space group: C2/m
- Theoretical density: 10.08 Mg/m³
- Raw total energy: -2.666 eV per atom


Entry 11:
Below is LaNd2Ir after structural relaxation, with properties calculated at the GGA-PBE level. Values from VASP.

```
&SYSTEM
  ibrav = 0, nat = 16, ntyp = 3
/
ATOMIC_SPECIES
La 138.91 La.upf
Nd 144.24 Nd.upf
Ir 192.22 Ir.upf
CELL_PARAMETERS angstrom
-0.0155 3.8930 -5.3498
2.5571 -5.6050 -4.0861
-9.3526 -2.8008 -2.0110
ATOMIC_POSITIONS crystal
La 0.6454 0.5413 0.2500
La 0.8546 0.0413 0.2500
La 0.3546 0.4587 0.7500
La 0.1454 0.9587 0.7500
Nd 0.1711 0.6735 0.0669
Nd 0.3289 0.1735 0.4331
Nd 0.8289 0.3265 0.5669
Nd 0.6711 0.8265 0.9331
Nd 0.8289 0.3265 0.9331
Nd 0.6711 0.8265 0.5669
Nd 0.1711 0.6735 0.4331
Nd 0.3289 0.1735 0.0669
Ir 0.0576 0.3774 0.2500
Ir 0.4424 0.8774 0.2500
Ir 0.9424 0.6226 0.7500
Ir 0.5576 0.1226 0.7500
```

- Volume: 488 Å³ per cell
- Magnetization: 0.000 μB/atom
- DOS at the Fermi energy: 4.93 states/eV/f.u.
- Energy of formation: -467 meV per atom
- Space group: Pnma
- E above lowest polymorph: 0.000 eV per formula unit
- Theoretical density: 8.44 Mg/m³
- Raw total energy: -6.298 eV per atom


Entry 12:
Below is TaTeRh2 after structural relaxation, with properties calculated at the GGA-PBE level. Values from VASP.

```
&SYSTEM
  ibrav = 0, nat = 4, ntyp = 3
/
ATOMIC_SPECIES
Ta 180.95 Ta.upf
Te 127.60 Te.upf
Rh 102.91 Rh.upf
CELL_PARAMETERS angstrom
8.1822 -1.6297 0.0115
8.1822 1.6297 0.0115
7.8536 0.0000 2.8151
ATOMIC_POSITIONS crystal
Ta 0.0000 0.0000 0.0000
Te 0.5000 0.5000 0.5000
Rh 0.7405 0.7405 0.7405
Rh 0.2595 0.2595 0.2595
```

- Volume: 75 Å³ per cell
- Magnetization: 0.000 μB/atom
- ΔE_f (raw): -0.1243 eV per atom
- DOS at the Fermi energy: 2.79 states/eV/f.u.
- Space group: R-3m
- Theoretical density: 11.42 Mg/m³
- Raw total energy: -7.549 eV per atom